Record 1
## NiAsPb2 (PBE)

Data for a relaxed structure of NiAsPb2.

a b c (Å): 6.906 4.066 7.367
angles (deg): 90.00 108.19 90.00
Space group Cm (No. 8)
Asymmetric unit:
Ni1 0.000 0.000 0.000 x2
As1 0.350 0.000 0.041 x2
Pb1 0.081 0.500 0.736 x2
Pb2 0.290 0.500 0.332 x2

E_form: -0.034 eV per atom



Record 2
## NiAsPb2 (PBE)

Data for a relaxed structure of NiAsPb2.

a b c (Å): 3.292 5.262 10.747
angles (deg): 90.00 90.00 90.00
Space group Imm2 (No. 44)
Asymmetric unit:
Ni1 0.000 0.000 0.000 x2
As1 0.000 0.500 0.346 x2
Pb1 0.000 0.000 0.528 x2
Pb2 0.000 0.500 0.731 x2

E_form: 0.112 eV per atom



Record 3
## NiAsPb2 (PBE)

Data for a relaxed structure of NiAsPb2.

a b c (Å): 3.349 3.349 7.902
angles (deg): 90.00 90.00 90.00
Space group P4/mmm (No. 123)
Asymmetric unit:
Ni1 0.000 0.000 0.000 x1
As1 0.000 0.000 0.500 x1
Pb1 0.500 0.500 0.214 x2

E_form: 0.272 eV per atom



Record 4
## Ni4AsPb (PBE)

Data for a relaxed structure of Ni4AsPb.

a b c (Å): 7.001 7.001 7.001
angles (deg): 90.00 90.00 90.00
Space group F-43m (No. 216)
Asymmetric unit:
Ni1 0.124 0.124 0.376 x16
As1 0.250 0.250 0.750 x4
Pb1 0.000 0.000 0.000 x4

E_form: 0.213 eV per atom



Record 5
## NiAsPb2 (PBE)

Data for a relaxed structure of NiAsPb2.

a b c (Å): 6.184 6.184 12.537
angles (deg): 90.00 90.00 90.00
Space group I-42d (No. 122)
Asymmetric unit:
Ni1 0.000 0.000 0.000 x4
As1 0.000 0.000 0.500 x4
Pb1 0.212 0.250 0.125 x8

E_form: 0.312 eV per atom



Record 6
## NiAsPb2 (PBE)

Data for a relaxed structure of NiAsPb2.

a b c (Å): 6.998 4.011 7.026
angles (deg): 90.00 109.27 90.00
Space group C2/m (No. 12)
Asymmetric unit:
Ni1 0.000 0.000 0.000 x2
As1 0.000 0.500 0.500 x2
Pb1 0.240 0.500 0.222 x4

E_form: 0.238 eV per atom



Record 7
## Ni2AsPdPb (PBE)

Data for a relaxed structure of Ni2AsPdPb.

a b c (Å): 4.637 4.637 5.168
angles (deg): 90.00 90.00 90.00
Space group P4/mmm (No. 123)
Asymmetric unit:
Ni1 0.000 0.500 0.000 x2
As1 0.000 0.000 0.500 x1
Pd1 0.500 0.500 0.500 x1
Pb1 0.000 0.000 0.000 x1

E_form: 1.364 eV per atom



Record 8
## Ni5As3Pd2 (PBE)

Data for a relaxed structure of Ni5As3Pd2.

a b c (Å): 3.769 22.489 6.379
angles (deg): 90.00 90.00 90.00
Space group Cmc2_1 (No. 36)
Asymmetric unit:
Ni1 0.000 0.054 0.000 x4
Ni2 0.000 0.124 0.364 x4
Ni3 0.000 0.292 0.130 x4
Ni4 0.000 0.292 0.721 x4
Ni5 0.000 0.400 0.226 x4
As1 0.000 0.046 0.622 x4
As2 0.000 0.230 0.427 x4
As3 0.000 0.388 0.596 x4
Pd1 0.000 0.176 0.913 x4
Pd2 0.000 0.476 0.832 x4

E_form: -0.245 eV per atom



Record 9
## NiAs4Pd5 (PBE)

Data for a relaxed structure of NiAs4Pd5.

a b c (Å): 15.754 3.768 5.721
angles (deg): 90.00 102.05 90.00
Space group C2/m (No. 12)
Asymmetric unit:
Ni1 0.000 0.000 0.000 x2
As1 0.065 0.500 0.826 x4
As2 0.137 0.000 0.286 x4
Pd1 0.000 0.000 0.500 x2
Pd2 0.179 0.500 0.586 x4
Pd3 0.211 0.500 0.118 x4

energy above the most stable polymorph in this dataset: 0.0 kJ per mole of atoms
E_form: -0.292 eV per atom



Record 10
## NiAs4Pd2 (PBE)

Data for a relaxed structure of NiAs4Pd2.

a b c (Å): 11.877 3.709 6.191
angles (deg): 90.00 117.72 90.00
Space group C2/m (No. 12)
Asymmetric unit:
Ni1 0.000 0.000 0.000 x2
As1 0.087 0.000 0.433 x4
As2 0.128 0.500 0.976 x4
Pd1 0.228 0.500 0.688 x4

E_form: -0.266 eV per atom



Record 11
## Ni4As2Pd (PBE)

Data for a relaxed structure of Ni4As2Pd.

a b c (Å): 15.680 3.822 6.070
angles (deg): 90.00 90.00 90.00
Space group Pnma (No. 62)
Asymmetric unit:
Ni1 0.049 0.250 0.154 x4
Ni2 0.058 0.750 0.503 x4
Ni3 0.171 0.250 0.539 x4
Ni4 0.224 0.250 0.117 x4
As1 0.047 0.250 0.764 x4
As2 0.186 0.750 0.304 x4
Pd1 0.143 0.750 0.894 x4

energy above the most stable polymorph in this dataset: 0.0 kJ per mole of atoms
E_form: -0.247 eV per atom



Record 12
## Ni2AsPd2 (PBE)

Data for a relaxed structure of Ni2AsPd2.

a b c (Å): 5.940 5.940 4.015
angles (deg): 90.00 90.00 90.00
Space group P4/mbm (No. 127)
Asymmetric unit:
Ni1 0.139 0.361 0.000 x4
As1 0.000 0.000 0.000 x2
Pd1 0.166 0.666 0.500 x4

energy above the most stable polymorph in this dataset: 0.0 kJ per mole of atoms
E_form: -0.067 eV per atom



Record 13
## NiAs2Pd2 (PBE)

Data for a relaxed structure of NiAs2Pd2.

a b c (Å): 7.969 5.121 7.855
angles (deg): 90.00 90.00 90.00
Space group Pbcn (No. 60)
Asymmetric unit:
Ni1 0.000 0.071 0.250 x4
As1 0.104 0.211 0.527 x8
Pd1 0.165 0.429 0.813 x8

energy above the most stable polymorph in this dataset: 0.3 kJ per mole of atoms
E_form: -0.171 eV per atom



Record 14
## NiAs4Pd5 (PBE)

Data for a relaxed structure of NiAs4Pd5.

a b c (Å): 7.631 8.129 5.602
angles (deg): 90.00 90.00 90.00
Space group Pmmn (No. 59, origin choice 2)
Asymmetric unit:
Ni1 0.250 0.250 0.218 x2
As1 0.023 0.750 0.579 x4
As2 0.250 0.065 0.903 x4
Pd1 0.061 0.538 0.257 x8
Pd2 0.250 0.750 0.905 x2

energy above the most stable polymorph in this dataset: 3.1 kJ per mole of atoms
E_form: -0.260 eV per atom



Record 15
## Ni4As2Pd (PBE)

Data for a relaxed structure of Ni4As2Pd.

a b c (Å): 6.987 6.987 3.809
angles (deg): 90.00 90.00 90.00
Space group P4_2/mnm (No. 136)
Asymmetric unit:
Ni1 0.086 0.343 0.000 x8
As1 0.231 0.769 0.000 x4
Pd1 0.000 0.000 0.500 x2

energy above the most stable polymorph in this dataset: 2.9 kJ per mole of atoms
E_form: -0.217 eV per atom



Record 16
## Ni2AsPd (PBE)

Data for a relaxed structure of Ni2AsPd.

a b c (Å): 3.072 3.072 5.592
angles (deg): 90.00 90.00 90.00
Space group P4/mmm (No. 123)
Asymmetric unit:
Ni1 0.000 0.000 0.228 x2
As1 0.500 0.500 0.000 x1
Pd1 0.500 0.500 0.500 x1

E_form: -0.084 eV per atom



Record 17
## Ni4AsPd2 (PBE)

Data for a relaxed structure of Ni4AsPd2.

a b c (Å): 4.321 4.321 12.157
angles (deg): 90.00 90.00 90.00
Space group I4/mmm (No. 139)
Asymmetric unit:
Ni1 0.000 0.000 0.182 x4
Ni2 0.000 0.500 0.000 x4
As1 0.000 0.000 0.000 x2
Pd1 0.000 0.000 0.380 x4

E_form: 0.531 eV per atom



Record 18
## Ni2AsPd (PBE)

Data for a relaxed structure of Ni2AsPd.

a b c (Å): 6.713 6.713 4.990
angles (deg): 90.00 90.00 90.00
Space group I-42d (No. 122)
Asymmetric unit:
Ni1 0.214 0.250 0.125 x8
As1 0.000 0.000 0.000 x4
Pd1 0.000 0.000 0.500 x4

E_form: -0.056 eV per atom



Record 19
## Ni3As3Pd (PBE)

Data for a relaxed structure of Ni3As3Pd.

a b c (Å): 6.7299 6.7299 16.9009
angles (deg): 90.00 90.00 120.00
Space group R-3 (No. 148, hexagonal axes)
Asymmetric unit:
Ni1 0.0042 0.7259 0.4413 x18
As1 0.0132 0.6246 0.5768 x18
Pd1 0.0000 0.0000 0.3241 x6

E_form: -0.196 eV per atom



Record 20
## Ni3AsPd (PBE)

Data for a relaxed structure of Ni3AsPd.

a b c (Å): 4.533 4.533 4.533
angles (deg): 90.00 90.00 90.00
Space group Pm-3m (No. 221)
Asymmetric unit:
Ni1 0.000 0.000 0.500 x3
As1 0.500 0.500 0.500 x1
Pd1 0.000 0.000 0.000 x1

energy above the most stable polymorph in this dataset: 72.1 kJ per mole of atoms
E_form: 1.231 eV per atom